# Ga3RhN

A geometry-optimized Ga3RhN structure (GGA-PBE, Alexandria).

Properties
size of the total moment: 0.0 μB per formula unit
symmetry: Pm-3m, No. 221
uncorrected formation energy: 0.34 eV per atom
density of states at the Fermi level: 3.2 states/eV/f.u.

Structure (POSCAR):
```
Ga3RhN
1.0
4.1425 0.0000 0.0000
0.0000 4.1425 0.0000
0.0000 0.0000 4.1425
Ga Rh N
3 1 1
Cartesian
0.0000 2.0713 0.0000
0.0000 0.0000 2.0713
2.0713 0.0000 0.0000
2.0713 2.0713 2.0713
0.0000 0.0000 0.0000
```